#w
The following is a PBE-GGA calculation of crystalline LaMg2Zr at its relaxed geometry, from Alexandria via LeMat-Bulk. Values from VASP.

```
&SYSTEM
  ibrav = 0, nat = 4, ntyp = 3
/
ATOMIC_SPECIES
La 138.91 La.upf
Mg 24.30 Mg.upf
Zr 91.22 Zr.upf
ATOMIC_POSITIONS crystal
La 0.000 0.000 0.000
Mg 0.500 0.500 0.285
Mg 0.500 0.500 0.715
Zr 0.000 0.000 0.500
CELL_PARAMETERS angstrom
3.653 0.000 0.000
0.000 3.653 0.000
0.000 0.000 7.801
```

## Properties
space-group type = P4/mmm (123)
size of the total moment = 0.00 μB/cell
theoretical density = 4.45 g cm⁻³

#x
The following is a PBE-GGA calculation of crystalline LaMg2Zr at its relaxed geometry, from Alexandria via LeMat-Bulk. Values from VASP.

```
&SYSTEM
  ibrav = 0, nat = 4, ntyp = 3
/
ATOMIC_SPECIES
La 138.91 La.upf
Mg 24.30 Mg.upf
Zr 91.22 Zr.upf
ATOMIC_POSITIONS crystal
La 0.000 0.000 0.000
Mg 0.000 0.000 0.517
Mg 0.500 0.500 0.280
Zr 0.500 0.500 0.755
CELL_PARAMETERS angstrom
3.265 0.000 0.000
0.000 4.752 0.000
0.000 0.000 6.744
```

## Properties
space-group type = Pmm2 (25)
size of the total moment = 0.00 μB/cell
theoretical density = 4.42 g cm⁻³

Tell me which of them is the most stable. Sure, it is #w.

#w
The following is a PBE-GGA calculation of crystalline LaMg2Zr at its relaxed geometry, from Alexandria via LeMat-Bulk. Values from VASP.

```
&SYSTEM
  ibrav = 0, nat = 4, ntyp = 3
/
ATOMIC_SPECIES
La 138.91 La.upf
Mg 24.30 Mg.upf
Zr 91.22 Zr.upf
ATOMIC_POSITIONS crystal
La 0.000 0.000 0.000
Mg 0.000 0.000 0.505
Mg 0.500 0.500 0.287
Zr 0.500 0.500 0.731
CELL_PARAMETERS angstrom
3.345 0.000 0.000
0.000 3.345 0.000
0.000 0.000 9.349
```

## Properties
space-group type = P4mm (99)
size of the total moment = 0.00 μB/cell
theoretical density = 4.43 g cm⁻³

#x
The following is a PBE-GGA calculation of crystalline LaMg2Zr at its relaxed geometry, from Alexandria via LeMat-Bulk. Values from VASP.

```
&SYSTEM
  ibrav = 0, nat = 4, ntyp = 3
/
ATOMIC_SPECIES
La 138.91 La.upf
Mg 24.30 Mg.upf
Zr 91.22 Zr.upf
ATOMIC_POSITIONS crystal
La 0.000 0.000 0.000
Mg 0.000 0.500 0.500
Mg 0.500 0.000 0.500
Zr 0.500 0.500 0.000
CELL_PARAMETERS angstrom
3.430 0.000 0.000
0.000 5.221 0.000
0.000 0.000 5.762
```

## Properties
space-group type = Pmmm (47)
size of the total moment = 0.00 μB/cell
theoretical density = 4.49 g cm⁻³

#y
The following is a PBE-GGA calculation of crystalline LaMg2Zr at its relaxed geometry, from Alexandria via LeMat-Bulk. Values from VASP.

```
&SYSTEM
  ibrav = 0, nat = 8, ntyp = 3
/
ATOMIC_SPECIES
La 138.91 La.upf
Mg 24.30 Mg.upf
Zr 91.22 Zr.upf
ATOMIC_POSITIONS crystal
La 0.000 0.000 0.000
La 0.750 0.250 0.500
Mg 0.151 0.125 0.526
Mg 0.375 0.849 0.974
Mg 0.599 0.625 0.474
Mg 0.875 0.401 0.026
Zr 0.250 0.750 0.500
Zr 0.500 0.500 0.000
CELL_PARAMETERS angstrom
-4.327 4.327 2.966
4.327 -4.327 2.966
4.327 4.327 -2.966
```

## Properties
space-group type = I-42d (122)
size of the total moment = 0.00 μB/cell
theoretical density = 4.17 g cm⁻³

#z
The following is a PBE-GGA calculation of crystalline LaMg2Zr at its relaxed geometry, from Alexandria via LeMat-Bulk. Values from VASP.

```
&SYSTEM
  ibrav = 0, nat = 4, ntyp = 3
/
ATOMIC_SPECIES
La 138.91 La.upf
Mg 24.30 Mg.upf
Zr 91.22 Zr.upf
ATOMIC_POSITIONS crystal
La 0.000 0.000 0.000
Mg 0.244 0.244 0.244
Mg 0.756 0.756 0.756
Zr 0.500 0.500 0.500
CELL_PARAMETERS angstrom
1.613 0.931 11.501
-1.613 0.931 11.501
0.000 -1.862 11.501
```

## Properties
space-group type = R-3m (166)
size of the total moment = 0.48 μB/cell
theoretical density = 4.47 g cm⁻³

Tell me which of them is the most stable. Sure, it is #w.

#w
The following is a PBE-GGA calculation of crystalline LaMg2Zr at its relaxed geometry, from Alexandria via LeMat-Bulk. Values from VASP.

```
&SYSTEM
  ibrav = 0, nat = 4, ntyp = 3
/
ATOMIC_SPECIES
La 138.91 La.upf
Mg 24.30 Mg.upf
Zr 91.22 Zr.upf
ATOMIC_POSITIONS crystal
La 0.000 0.000 0.000
Mg 0.250 0.250 0.250
Mg 0.750 0.750 0.750
Zr 0.500 0.500 0.500
CELL_PARAMETERS angstrom
0.000 3.731 3.731
3.731 0.000 3.731
3.731 3.731 0.000
```

## Properties
space-group type = Fm-3m (225)
size of the total moment = 0.00 μB/cell
theoretical density = 4.46 g cm⁻³

#x
The following is a PBE-GGA calculation of crystalline LaMg2Zr at its relaxed geometry, from Alexandria via LeMat-Bulk. Values from VASP.

```
&SYSTEM
  ibrav = 0, nat = 4, ntyp = 3
/
ATOMIC_SPECIES
La 138.91 La.upf
Mg 24.30 Mg.upf
Zr 91.22 Zr.upf
ATOMIC_POSITIONS crystal
La 0.000 0.000 0.000
Mg 0.000 0.500 0.500
Mg 0.500 0.000 0.500
Zr 0.500 0.500 0.000
CELL_PARAMETERS angstrom
3.313 -4.808 0.000
3.313 4.808 0.000
0.000 0.000 3.194
```

## Properties
space-group type = Cmmm (65)
size of the total moment = 0.00 μB/cell
theoretical density = 4.55 g cm⁻³

Tell me which of them is the most stable. Sure, it is #w.

#w
The following is a PBE-GGA calculation of crystalline LaMg6Zr at its relaxed geometry, from Alexandria via LeMat-Bulk. Values from VASP.

```
&SYSTEM
  ibrav = 0, nat = 8, ntyp = 3
/
ATOMIC_SPECIES
La 138.91 La.upf
Mg 24.30 Mg.upf
Zr 91.22 Zr.upf
ATOMIC_POSITIONS crystal
La 0.000 0.000 0.000
Mg 0.000 0.500 0.990
Mg 0.000 0.990 0.500
Mg 0.500 0.151 0.637
Mg 0.500 0.168 0.168
Mg 0.500 0.635 0.635
Mg 0.500 0.637 0.151
Zr 0.000 0.483 0.483
CELL_PARAMETERS angstrom
5.205 0.000 0.000
0.000 3.138 6.105
0.000 -3.138 6.105
```

## Properties
space-group type = Amm2 (38)
size of the total moment = 0.00 μB/cell
theoretical density = 3.13 g cm⁻³

#x
The following is a PBE-GGA calculation of crystalline LaMg6Zr at its relaxed geometry, from Alexandria via LeMat-Bulk. Values from VASP.

```
&SYSTEM
  ibrav = 0, nat = 8, ntyp = 3
/
ATOMIC_SPECIES
La 138.91 La.upf
Mg 24.30 Mg.upf
Zr 91.22 Zr.upf
ATOMIC_POSITIONS crystal
La 0.000 0.000 0.000
Mg 0.000 0.001 0.479
Mg 0.000 0.479 0.001
Mg 0.000 0.485 0.485
Mg 0.500 0.145 0.631
Mg 0.500 0.631 0.145
Mg 0.500 0.644 0.644
Zr 0.500 0.135 0.135
CELL_PARAMETERS angstrom
5.161 0.000 0.000
0.000 3.291 5.831
0.000 -3.291 5.831
```

## Properties
space-group type = Amm2 (38)
size of the total moment = 0.00 μB/cell
theoretical density = 3.15 g cm⁻³

Tell me which of them is the most stable. Sure, it is #x.